# 1
Entry from Alexandria via LeMat-Bulk: a relaxed MgSnMo2 crystal (GGA-PBE).

Computed properties:
**Offset from the most stable computed form**: 0 meV per atom
**Formation energy**: 2.1 eV per formula unit
**SG**: Fm-3m (225)

abc: 4.632 4.632 4.632
angles: 60.00 60.00 60.00
Positions (direct):
Mo 0.750 0.750 0.750
Sn 0.500 0.500 0.500
Mg 0.000 0.000 0.000
Mo 0.250 0.250 0.250


# 2
Entry from Alexandria via LeMat-Bulk: a relaxed MgSn3Mo crystal (GGA-PBE).

Computed properties:
**Offset from the most stable computed form**: 0 meV per atom
**Formation energy**: 1.6 eV per formula unit
**SG**: Pm-3m (221)

abc: 5.290 5.290 5.290
angles: 90.00 90.00 90.00
Positions (direct):
Sn 0.000 0.000 0.500
Sn 0.000 0.500 0.000
Mg 0.500 0.500 0.500
Mo 0.000 0.000 0.000
Sn 0.500 0.000 0.000


# 3
Entry from Alexandria via LeMat-Bulk: a relaxed Mg3SnMo crystal (GGA-PBE).

Computed properties:
**Offset from the most stable computed form**: 120 meV per atom
**Formation energy**: 5.5 eV per formula unit
**SG**: Pm-3m (221)

abc: 5.302 5.302 5.302
angles: 90.00 90.00 90.00
Positions (direct):
Sn 0.000 0.000 0.000
Mg 0.500 0.000 0.000
Mg 0.000 0.000 0.500
Mo 0.500 0.500 0.500
Mg 0.000 0.500 0.000


# 4
Entry from Alexandria via LeMat-Bulk: a relaxed Mg3SnMo crystal (GGA-PBE).

Computed properties:
**Offset from the most stable computed form**: 0 meV per atom
**Formation energy**: 4.9 eV per formula unit
**SG**: Pm-3m (221)

abc: 5.191 5.191 5.191
angles: 90.00 90.00 90.00
Positions (direct):
Sn 0.500 0.500 0.500
Mg 0.500 0.000 0.000
Mg 0.000 0.500 0.000
Mg 0.000 0.000 0.500
Mo 0.000 0.000 0.000


# 5
Entry from Alexandria via LeMat-Bulk: a relaxed Mg2Sn2Mo crystal (GGA-PBE).

Computed properties:
**Offset from the most stable computed form**: 0 meV per atom
**Formation energy**: 1.2 eV per formula unit
**SG**: P4/mbm (127)

abc: 7.278 7.278 4.110
angles: 90.00 90.00 90.00
Positions (direct):
Mg 0.336 0.164 0.500
Mo 0.000 0.000 0.000
Sn 0.353 0.853 0.000
Mo 0.500 0.500 0.000
Mg 0.836 0.336 0.500
Mg 0.164 0.664 0.500
Mg 0.664 0.836 0.500
Sn 0.647 0.147 0.000
Sn 0.147 0.353 0.000
Sn 0.853 0.647 0.000


# 6
Entry from Alexandria via LeMat-Bulk: a relaxed MgSn2Mo2 crystal (GGA-PBE).

Computed properties:
**Formation energy**: 1.3 eV per formula unit
**SG**: P4/mbm (127)

abc: 7.413 7.413 3.595
angles: 90.00 90.00 90.00
Positions (direct):
Mg 0.500 0.500 0.000
Sn 0.342 0.158 0.500
Mo 0.363 0.863 0.000
Mo 0.637 0.137 0.000
Mo 0.863 0.637 0.000
Mo 0.137 0.363 0.000
Sn 0.842 0.342 0.500
Sn 0.658 0.842 0.500
Sn 0.158 0.658 0.500
Mg 0.000 0.000 0.000


# 7
Entry from Alexandria via LeMat-Bulk: a relaxed MgSn3Mo crystal (GGA-PBE).

Computed properties:
**Offset from the most stable computed form**: 838 meV per atom
**Formation energy**: 5.8 eV per formula unit
**SG**: Pm-3m (221)

abc: 5.290 5.290 5.290
angles: 90.00 90.00 90.00
Positions (direct):
Mo 0.500 0.500 0.500
Sn 0.000 0.000 0.500
Sn 0.500 0.000 0.000
Mg 0.000 0.000 0.000
Sn 0.000 0.500 0.000


# 8
Entry from Alexandria via LeMat-Bulk: a relaxed MgTcSnMo crystal (GGA-PBE).

Computed properties:
**Formation energy**: 0.6 eV per formula unit
**SG**: F-43m (216)

abc: 4.560 4.560 4.560
angles: 60.00 60.00 60.00
Positions (direct):
Mo 0.750 0.750 0.750
Mg 0.000 0.000 0.000
Tc 0.500 0.500 0.500
Sn 0.250 0.250 0.250


# 9
Entry from Alexandria via LeMat-Bulk: a relaxed MgZnSnMo2 crystal (GGA-PBE).

Computed properties:
**Formation energy**: 5.3 eV per formula unit
**SG**: P4/mmm (123)

abc: 4.758 4.560 4.758
angles: 90.00 90.00 90.00
Positions (direct):
Mg 0.000 0.500 0.000
Sn 0.500 0.500 0.500
Zn 0.000 0.000 0.000
Mo 0.000 0.000 0.500
Mo 0.500 0.000 0.000


# 10
Entry from Alexandria via LeMat-Bulk: a relaxed Sr2MgMo crystal (GGA-PBE).

Computed properties:
**Formation energy**: 4.0 eV per formula unit
**SG**: I-42d (122)

abc: 8.878 8.878 7.097
angles: 51.28 51.28 90.00
Positions (direct):
Mo 0.750 0.250 0.500
Sr 0.646 0.125 0.250
Mo 0.000 0.000 0.000
Sr 0.875 0.896 0.750
Mg 0.500 0.500 0.000
Sr 0.375 0.354 0.750
Sr 0.104 0.625 0.250
Mg 0.250 0.750 0.500


# 11
Entry from Alexandria via LeMat-Bulk: a relaxed SrMg14Mo crystal (GGA-PBE).

Computed properties:
**Offset from the most stable computed form**: 0 meV per atom
**Formation energy**: 2.5 eV per formula unit
**SG**: P-6m2 (187)

abc: 6.488 6.488 10.352
angles: 90.00 90.00 120.00
Positions (direct):
Mg 0.164 0.327 0.274
Mg 0.990 0.495 0.500
Mo 0.000 0.000 0.500
Mg 0.493 0.507 0.000
Mg 0.164 0.836 0.274
Mg 0.505 0.010 0.500
Mg 0.505 0.495 0.500
Mg 0.164 0.836 0.726
Mg 0.673 0.836 0.726
Mg 0.667 0.333 0.764
Mg 0.493 0.985 0.000
Mg 0.164 0.327 0.726
Mg 0.673 0.836 0.274
Mg 0.667 0.333 0.236
Sr 0.000 0.000 0.000
Mg 0.015 0.507 0.000


# 12
Entry from Alexandria via LeMat-Bulk: a relaxed Sr2Mg2Mo crystal (GGA-PBE).

Computed properties:
**Offset from the most stable computed form**: 520 meV per atom
**Formation energy**: 5.6 eV per formula unit
**SG**: I4/mmm (139)

abc: 4.885 4.885 8.270
angles: 72.82 72.82 90.00
Positions (direct):
Mo 0.000 0.000 0.000
Sr 0.750 0.250 0.500
Mg 0.590 0.590 0.819
Sr 0.250 0.750 0.500
Mg 0.410 0.410 0.181